Record 1
DFT (SCAN) results for a PBEsol-optimized structure of YTe.

Cell: 5.9739 5.9739 4.9910 Å, 91.55 91.55 37.45°
Closest atoms and distances in Å follow each position.
Atoms (fractional coordinates):
Y  0.1188  0.1188  0.2589  7 Te 3.06-3.23
Y  0.8812  0.8812  0.7411  7 Te 3.06-3.23
Te  0.3888  0.3888  0.2419  7 Y 3.06-3.23
Te  0.6112  0.6112  0.7581  7 Y 3.06-3.23

Results
- Energy relative to the elements, uncorrected: -1.320 eV per atom

=====

Record 2
DFT (SCAN) results for a PBEsol-optimized structure of BaNiSe2.

Cell: 5.0841 5.0841 5.0841 Å, 60.00 60.00 60.00°
Closest atoms and distances in Å follow each position.
Atoms (fractional coordinates):
Ba  0.0000  0.0000  0.0000  8 Se 3.11
Ni  0.5000  0.5000  0.5000  8 Se 3.11
Se  0.2500  0.2500  0.2500  4 Ni 3.11, 4 Ba 3.11
Se  0.7500  0.7500  0.7500  4 Ni 3.11, 4 Ba 3.11

Results
- Energy relative to the elements, uncorrected: -0.457 eV per atom

=====

Record 3
DFT (SCAN) results for a PBEsol-optimized structure of Sr2FeS.

Cell: 5.1514 5.1514 5.1514 Å, 60.00 60.00 60.00°
Closest atoms and distances in Å follow each position.
Atoms (fractional coordinates):
Sr  0.2500  0.2500  0.2500  4 S 3.15, 4 Fe 3.15
Sr  0.7500  0.7500  0.7500  4 S 3.15, 4 Fe 3.15
Fe  0.0000  0.0000  0.0000  8 Sr 3.15
S  0.5000  0.5000  0.5000  8 Sr 3.15

Results
- Energy relative to the elements, uncorrected: -0.344 eV per atom

=====

Record 4
DFT (SCAN) results for a PBEsol-optimized structure of Tl2TcB.

Cell: 4.6520 4.6520 4.6520 Å, 60.00 60.00 60.00°
Closest atoms and distances in Å follow each position.
Atoms (fractional coordinates):
Tl  0.2500  0.2500  0.2500  4 B 2.85, 4 Tc 2.85
Tl  0.7500  0.7500  0.7500  4 B 2.85, 4 Tc 2.85
Tc  0.0000  0.0000  0.0000  8 Tl 2.85
B  0.5000  0.5000  0.5000  8 Tl 2.85

Results
- E_form: 155.8 kJ/mol of atoms

=====

no.,D(E_F) (states/eV per atom)
1,0.56
2,0.90
3,1.58
4,0.63